VASP calculation (PBE) on crystalline Sm2Zn3Cd6 at its relaxed geometry.

Summary:
- DOS(E_F) (states/eV/f.u.) = 3.69
- mass density (g cm⁻³) = 7.72
- formation enthalpy at 0 K (eV/atom) = -0.19
- M_tot (Bohr magnetons per cell) = 0.000
- space-group type = P-62m, No. 189

Unit cell a=8.0849 b=8.0849 c=4.4508 alpha=90.00 beta=90.00 gamma=120.00
Sites, in units of the cell vectors:
Sm: 0.3333 0.6667 0.0000
Sm: 0.6667 0.3333 0.0000
Zn: 0.0000 0.3908 0.5000
Zn: 0.3908 0.0000 0.5000
Zn: 0.6092 0.6092 0.5000
Cd: 0.0000 0.2084 0.0000
Cd: 0.0000 0.7109 0.5000
Cd: 0.2084 0.0000 0.0000
Cd: 0.2891 0.2891 0.5000
Cd: 0.7109 0.0000 0.5000
Cd: 0.7916 0.7916 0.0000


VASP calculation (PBE) on crystalline SmZn4Cd4 at its relaxed geometry.

Summary:
- DOS(E_F) (states/eV/f.u.) = 4.52
- mass density (g cm⁻³) = 7.53
- formation enthalpy at 0 K (eV/atom) = -0.06
- M_tot (Bohr magnetons per cell) = 0.000
- space-group type = I4/m, No. 87

Unit cell a=6.7737 b=6.7737 c=6.7737 alpha=96.96 beta=96.96 gamma=139.27
Sites, in units of the cell vectors:
Sm: 0.0000 0.0000 0.0000
Zn: 0.3025 0.3942 0.6966
Zn: 0.3942 0.6975 0.0917
Zn: 0.6058 0.3025 0.9083
Zn: 0.6975 0.6058 0.3034
Cd: 0.0888 0.6407 0.7295
Cd: 0.3593 0.0888 0.4482
Cd: 0.6407 0.9112 0.5518
Cd: 0.9112 0.3593 0.2705


VASP calculation (PBE) on crystalline Sm3Zn4Cd at its relaxed geometry.

Summary:
- DOS(E_F) (states/eV/f.u.) = 5.50
- mass density (g cm⁻³) = 7.50
- formation enthalpy at 0 K (eV/atom) = -0.29
- M_tot (Bohr magnetons per cell) = 0.000
- space-group type = R-3m, No. 166

Unit cell a=9.0733 b=9.0733 c=9.0733 alpha=31.64 beta=31.64 gamma=31.64
Sites, in units of the cell vectors:
Sm: 0.0000 0.0000 0.0000
Sm: 0.2410 0.2410 0.2410
Sm: 0.7590 0.7590 0.7590
Zn: 0.1247 0.1247 0.1247
Zn: 0.3724 0.3724 0.3724
Zn: 0.6276 0.6276 0.6276
Zn: 0.8753 0.8753 0.8753
Cd: 0.5000 0.5000 0.5000


VASP calculation (PBE) on crystalline SmZn6Cd6 at its relaxed geometry.

Summary:
- DOS(E_F) (states/eV/f.u.) = 1.94
- mass density (g cm⁻³) = 8.12
- formation enthalpy at 0 K (eV/atom) = -0.13
- M_tot (Bohr magnetons per cell) = 0.000
- space-group type = Immm, No. 71

Unit cell a=7.2340 b=7.2340 c=7.2340 alpha=134.50 beta=99.43 gamma=97.77
Sites, in units of the cell vectors:
Sm: 0.0000 0.0000 0.0000
Zn: 0.0000 0.0000 0.5000
Zn: 0.0000 0.5000 0.0000
Zn: 0.2259 0.7259 0.5000
Zn: 0.5000 0.0000 0.0000
Zn: 0.5000 0.5000 0.5000
Zn: 0.7741 0.2741 0.5000
Cd: 0.1989 0.5000 0.6989
Cd: 0.3456 0.3456 0.0000
Cd: 0.3467 0.0000 0.3467
Cd: 0.6533 0.0000 0.6533
Cd: 0.6544 0.6544 0.0000
Cd: 0.8011 0.5000 0.3011